Record 1
This record from Alexandria via LeMat-Bulk describes Pr2Sm8Sc3 after structural relaxation. The functional is PBE-GGA.

POSCAR file:
```
Pr2Sm8Sc3
1.0
7.520 -4.405 0.000
7.520 4.405 0.000
-0.985 0.000 6.584
Pr Sm Sc
2 8 3
direct
0.203 0.203 0.291
0.797 0.797 0.709
0.186 0.186 0.804
0.208 0.575 0.575
0.409 0.409 0.104
0.425 0.792 0.425
0.575 0.208 0.575
0.591 0.591 0.896
0.792 0.425 0.425
0.814 0.814 0.196
0.000 0.000 0.500
0.162 0.838 0.000
0.838 0.162 0.000
```

---

Record 2
This record from Alexandria via LeMat-Bulk describes Pr7Sm3Sc after structural relaxation. The functional is PBE-GGA.

POSCAR file:
```
Pr7Sm3Sc
1.0
-2.964 5.740 5.752
2.964 -5.740 5.752
2.964 5.740 -5.752
Pr Sm Sc
7 3 1
direct
0.000 0.000 0.000
0.098 0.789 0.309
0.284 0.500 0.784
0.479 0.789 0.691
0.521 0.211 0.309
0.716 0.500 0.216
0.902 0.211 0.691
0.296 0.296 0.000
0.500 0.000 0.500
0.704 0.704 0.000
0.000 0.500 0.500
```

---

Record-wise formation enthalpy at 0 K values, in eV/atom: 0.243 0.222
Record-wise magnetic moment values, in Bohr magnetons per cell: 0.00 0.00